1.
LaCe3Nd2Se6 | GGA-PBE | relaxed

The structure belongs to space group C2/m (No. 12); the cell edges are 7.316, 12.682 and 7.356 Å and the angles 90.00°, 109.40° and 90.00°. The inequivalent atoms are La at (0.000, 0.000, 0.000), Ce at (0.000, 0.166, 0.500), Ce at (0.000, 0.500, 0.500), Nd at (0.000, 0.333, 0.000), Se at (0.247, 0.332, 0.746) and Se at (0.248, 0.500, 0.253).

As for the theoretical density: 6.82 g/cm³. The value obtained for the raw formation energy is -1.860 eV/atom. The crystal system is monoclinic.



2.
LaCe3Nd4Se8 | GGA-PBE | relaxed

The structure belongs to space group R-3m (No. 166, hexagonal axes); the cell edges are 8.4628, 8.4628 and 20.7421 Å and the angles 90.00°, 90.00° and 120.00°. The inequivalent atoms are La at (0.0000, 0.0000, 0.0000), Ce at (0.0000, 0.5000, 0.0000), Nd at (0.0000, 0.0000, 0.5000), Nd at (0.0000, 0.5000, 0.5000), Se at (0.0000, 0.0000, 0.2507) and Se at (0.0032, 0.5016, 0.2500).

As for the theoretical density: 6.85 g/cm³. The value obtained for the raw formation energy is -1.856 eV/atom. The crystal system is trigonal.



3.
La2CeNd3Se6 | GGA-PBE | relaxed

The structure belongs to space group C2/m (No. 12); the cell edges are 18.528, 4.247 and 8.540 Å and the angles 90.00°, 103.15° and 90.00°. The inequivalent atoms are La at (0.166, 0.000, 0.332), Ce at (0.000, 0.500, 0.000), Nd at (0.000, 0.500, 0.500), Nd at (0.168, 0.000, 0.835), Se at (0.002, 0.000, 0.752), Se at (0.166, 0.500, 0.080) and Se at (0.166, 0.500, 0.586).

As for the theoretical density: 6.72 g/cm³. The value obtained for the raw formation energy is -1.893 eV/atom. The crystal system is monoclinic.



4.
LaCe4Nd3Se8 | GGA-PBE | relaxed

The structure belongs to space group R-3m (No. 166, hexagonal axes); the cell edges are 8.4477, 8.4477 and 20.7708 Å and the angles 90.00°, 90.00° and 120.00°. The inequivalent atoms are La at (0.0000, 0.0000, 0.0000), Ce at (0.0000, 0.0000, 0.5000), Ce at (0.0000, 0.5000, 0.5000), Nd at (0.0000, 0.5000, 0.0000), Se at (0.0000, 0.0000, 0.2493) and Se at (0.0024, 0.5012, 0.2488).

As for the theoretical density: 6.85 g/cm³. The value obtained for the raw formation energy is -1.853 eV/atom. The crystal system is trigonal.



5.
La3Ce2NdSe6 | GGA-PBE | relaxed

The structure belongs to space group C2/m (No. 12); the cell edges are 7.371, 12.780 and 7.409 Å and the angles 90.00°, 109.43° and 90.00°. The inequivalent atoms are La at (0.000, 0.000, 0.000), La at (0.000, 0.335, 0.000), Ce at (0.000, 0.167, 0.500), Nd at (0.000, 0.500, 0.500), Se at (0.246, 0.000, 0.743) and Se at (0.249, 0.332, 0.744).

As for the theoretical density: 6.64 g/cm³. The value obtained for the raw formation energy is -1.915 eV/atom. The crystal system is monoclinic.



6.
LaCeNdSm2 | GGA-PBE | relaxed

The structure belongs to space group P2/c (No. 13); the cell edges are 8.548, 6.456 and 6.281 Å and the angles 90.00°, 96.26° and 90.00°. The inequivalent atoms are La at (0.000, 0.000, 0.000), Ce at (0.000, 0.454, 0.250), Nd at (0.500, 0.166, 0.250) and Sm at (0.308, 0.322, 0.716).

As for the theoretical density: 6.98 g/cm³. The value obtained for the energy relative to the elements is 1.3 eV/f.u. The crystal system is monoclinic.



7.
LaCeNd2Sm2 | GGA-PBE | relaxed

The structure belongs to space group Pnnm (No. 58); the cell edges are 7.118, 9.990 and 5.793 Å and the angles 90.00°, 90.00° and 90.00°. The inequivalent atoms are La at (0.000, 0.000, 0.000), Ce at (0.000, 0.500, 0.500), Nd at (0.250, 0.167, 0.500) and Sm at (0.250, 0.333, 0.000).

As for the theoretical density: 7.00 g/cm³. The value obtained for the energy relative to the elements is 0.6 eV/f.u. The crystal system is orthorhombic.



8.
La5CeNdSm2 | GGA-PBE | relaxed

The structure belongs to space group P4/mbm (No. 127); the cell edges are 8.262, 8.262 and 9.500 Å and the angles 90.00°, 90.00° and 90.00°. The inequivalent atoms are La at (0.000, 0.000, 0.000), La at (0.192, 0.308, 0.274), Ce at (0.000, 0.500, 0.500), Nd at (0.000, 0.000, 0.500) and Sm at (0.130, 0.630, 0.000).

As for the theoretical density: 6.55 g/cm³. The value obtained for the energy relative to the elements is 2.4 eV/f.u. The crystal system is tetragonal.



9.
LaCeNd2Sm | GGA-PBE | relaxed

The structure belongs to space group P2/c (No. 13); the cell edges are 8.570, 6.441 and 6.309 Å and the angles 90.00°, 94.72° and 90.00°. The inequivalent atoms are La at (0.000, 0.000, 0.000), Ce at (0.000, 0.455, 0.250), Nd at (0.307, 0.315, 0.725) and Sm at (0.500, 0.169, 0.250).

As for the theoretical density: 6.87 g/cm³. The value obtained for the energy relative to the elements is 1.3 eV/f.u. The crystal system is monoclinic.



10.
La2CeNdSm2 | GGA-PBE | relaxed

The structure belongs to space group Pnnm (No. 58); the cell edges are 6.664, 18.314 and 3.448 Å and the angles 90.00°, 90.00° and 90.00°. The inequivalent atoms are La at (0.208, 0.185, 0.000), Ce at (0.000, 0.500, 0.000), Nd at (0.000, 0.000, 0.000) and Sm at (0.200, 0.356, 0.500).

As for the theoretical density: 6.81 g/cm³. The value obtained for the energy relative to the elements is 1.6 eV/f.u. The crystal system is orthorhombic.